The following is a DFT calculation (PBE-GGA) of a geometry-optimized Ce3Ga2Au3 structure.

Structure (extended XYZ):
```
16
Lattice="-1.386 2.694 -3.325 4.564 -3.379 -1.597 -9.585 -10.727 -4.693" Properties=species:S:1:pos:R:3 pbc="T T T"
Au -4.168 -4.021 -4.561
Ce -7.931 -9.978 -4.776
Ce -4.321 -9.551 -5.934
Ce -1.301 -4.596 -6.223
Ce 1.524 -1.435 -4.840
Ga 0.637 -1.942 -1.839
Au 0.287 -4.091 -3.433
Ce -2.086 -1.862 -3.681
Ga -2.200 -5.118 -3.228
Au -6.194 -11.819 -6.991
Au -6.694 -7.322 -6.183
Ga -7.045 -9.471 -7.777
Au -0.213 0.407 -2.624
Au -2.239 -7.392 -5.054
Ga -4.207 -6.295 -6.388
Ce -5.106 -6.816 -3.392
```

E above lowest polymorph: 0 meV/atom
calculated volume: 23.20 Å³ per atom
Fermi-level density of states: 17.8 states/eV/f.u.
energy of formation: -62.8 kJ/mol of atoms